# 1
A relaxed structure of KNaTlCd. Source: Alexandria via LeMat-Bulk, functional PBE.

Lattice parameters (Å, degrees): 5.5933 5.5933 5.5933 60.00 60.00 60.00
Closest atoms and distances in Å follow each position.
Element x y z (fractional)
K  0.0000  0.0000  0.0000  4 Cd 3.43, 4 Na 3.43
Tl  0.5000  0.5000  0.5000  4 Na 3.43, 4 Cd 3.43
Cd  0.7500  0.7500  0.7500  4 K 3.43, 4 Tl 3.43
Na  0.2500  0.2500  0.2500  4 K 3.43, 4 Tl 3.43

Values from the calculation:
Space-group type = No. 216
Crystal system = cubic
ΔH_f (0 K) = -0.052 eV/atom
E above lowest polymorph = 27 meV/atom

=====

# 2
A relaxed structure of LaSmDy6. Source: Alexandria via LeMat-Bulk, functional PBE.

Lattice parameters (Å, degrees): 6.1622 6.1622 9.3712 86.22 117.28 113.78
Closest atoms and distances in Å follow each position.
Element x y z (fractional)
Dy  0.6415  0.5418  0.7018  5 Dy 3.24-3.50, 1 Sm 3.32, 2 La 3.48-3.53
Dy  0.2985  0.6236  0.9221  5 Dy 3.17-3.50
Dy  0.8400  0.9397  0.2982  5 Dy 3.24-3.50, 1 Sm 3.32, 2 La 3.48-3.53
Dy  0.1600  0.0603  0.7018  5 Dy 3.24-3.50, 1 Sm 3.32, 2 La 3.48-3.53
Dy  0.3585  0.4582  0.2982  5 Dy 3.24-3.50, 1 Sm 3.32, 2 La 3.48-3.53
Dy  0.7015  0.3764  0.0779  5 Dy 3.17-3.50
La  0.5000  0.0000  0.5000  8 Dy 3.48-3.53
Sm  0.0000  0.0000  0.0000  4 Dy 3.32

Values from the calculation:
Space-group type = No. 12
Crystal system = monoclinic
ΔH_f (0 K) = 0.367 eV/atom
E above lowest polymorph = 341 meV/atom

=====

| no. | N(E_F) (states/eV per cell) |
| --- | --- |
| 1 | 2.074 |
| 2 | 11.536 |